No. 1
# Y2Zn3Au, optimized geometry, DFT GGA-PBE
data_Y2Zn3Au
_space_group_name_H-M_alt 'F m m m'
_space_group_IT_number 69
_space_group_name_Hall '-F 2 2'
_cell_length_a 7.0228
_cell_length_b 8.9974
_cell_length_c 15.7183
_cell_angle_alpha 90.00
_cell_angle_beta 90.00
_cell_angle_gamma 90.00
loop_
_atom_site_label
_atom_site_type_symbol
_atom_site_fract_x
_atom_site_fract_y
_atom_site_fract_z
Y1 Y 0.2453 0.0000 0.0000
Y2 Y 0.2500 0.2500 0.2500
Zn1 Zn 0.0000 0.0000 0.3367
Zn2 Zn 0.0000 0.2455 0.4185
Au1 Au 0.0000 0.0000 0.1674
# **Mass density**: 7.64 g/cm3
# **Energy above the most stable polymorph in this dataset**: 0.0 meV per atom
# **ΔH_f (0 K)**: -536 meV per atom

No. 2
# YZnAu, optimized geometry, DFT GGA-PBE
data_YZnAu
_space_group_name_H-M_alt 'C m c m'
_space_group_IT_number 63
_space_group_name_Hall '-C 2c 2'
_cell_length_a 4.4738
_cell_length_b 10.0513
_cell_length_c 5.6215
_cell_angle_alpha 90.00
_cell_angle_beta 90.00
_cell_angle_gamma 90.00
loop_
_atom_site_label
_atom_site_type_symbol
_atom_site_fract_x
_atom_site_fract_y
_atom_site_fract_z
Y1 Y 0.0000 0.2006 0.2500
Zn1 Zn 0.0000 0.5000 0.0000
Au1 Au 0.0000 0.1018 0.7500
# **Mass density**: 9.23 g/cm3
# **ΔH_f (0 K)**: -652 meV per atom

No. 3
# YZnAu3, optimized geometry, DFT GGA-PBE
data_YZnAu3
_space_group_name_H-M_alt 'P n m a'
_space_group_IT_number 62
_cell_length_a 8.7048
_cell_length_b 4.3799
_cell_length_c 10.6386
_cell_angle_alpha 90.00
_cell_angle_beta 90.00
_cell_angle_gamma 90.00
loop_
_space_group_symop_operation_xyz
'x,y,z'
'-x,-y,-z'
'-x+1/2,-y,z+1/2'
'x+1/2,y,-z+1/2'
'x+1/2,-y+1/2,-z+1/2'
'-x+1/2,y+1/2,z+1/2'
'-x,y+1/2,-z'
'x,-y+1/2,z'
loop_
_atom_site_label
_atom_site_type_symbol
_atom_site_fract_x
_atom_site_fract_y
_atom_site_fract_z
Y1 Y 0.1981 0.2500 0.0005
Zn1 Zn 0.1142 0.2500 0.3497
Au1 Au 0.0596 0.2500 0.5913
Au2 Au 0.0892 0.7500 0.8306
Au3 Au 0.1464 0.7500 0.1980
# **Mass density**: 12.20 g/cm3
# **Energy above the most stable polymorph in this dataset**: 0.0 meV per atom
# **ΔH_f (0 K)**: -542 meV per atom

No. 4
# YZn2Au2, optimized geometry, DFT GGA-PBE
data_YZn2Au2
_space_group_name_H-M_alt 'I 4/m m m'
_space_group_IT_number 139
_space_group_name_Hall '-I 4 2'
_cell_length_a 3.9252
_cell_length_b 3.9252
_cell_length_c 12.8654
_cell_angle_alpha 90.00
_cell_angle_beta 90.00
_cell_angle_gamma 90.00
loop_
_atom_site_label
_atom_site_type_symbol
_atom_site_fract_x
_atom_site_fract_y
_atom_site_fract_z
Y1 Y 0.0000 0.0000 0.0000
Zn1 Zn 0.0000 0.5000 0.2500
Au1 Au 0.0000 0.0000 0.3918
# **Mass density**: 10.28 g/cm3
# **Energy above the most stable polymorph in this dataset**: 0.0 meV per atom
# **ΔH_f (0 K)**: -546 meV per atom

No. 5
# YZnAu, optimized geometry, DFT GGA-PBE
data_YZnAu
_space_group_name_H-M_alt 'P m m a'
_space_group_IT_number 51
_cell_length_a 4.5543
_cell_length_b 3.5198
_cell_length_c 7.9787
_cell_angle_alpha 90.00
_cell_angle_beta 90.00
_cell_angle_gamma 90.00
loop_
_space_group_symop_operation_xyz
'x,y,z'
'-x,-y,-z'
'-x+1/2,-y,z'
'x+1/2,y,-z'
'x+1/2,-y,-z'
'-x+1/2,y,z'
'-x,y,-z'
'x,-y,z'
loop_
_atom_site_label
_atom_site_type_symbol
_atom_site_fract_x
_atom_site_fract_y
_atom_site_fract_z
Y1 Y 0.2500 0.0000 0.2365
Zn1 Zn 0.2500 0.5000 0.5692
Au1 Au 0.2500 0.5000 0.8965
# **Mass density**: 9.12 g/cm3
# **ΔH_f (0 K)**: -629 meV per atom

No. 6
# Y3Zn8Au, optimized geometry, DFT GGA-PBE
data_Y3Zn8Au
_space_group_name_H-M_alt 'R 3 m'
_space_group_IT_number 160
_space_group_name_Hall 'R 3 -2"'
_cell_length_a 5.3741
_cell_length_b 5.3741
_cell_length_c 26.5411
_cell_angle_alpha 90.00
_cell_angle_beta 90.00
_cell_angle_gamma 120.00
loop_
_atom_site_label
_atom_site_type_symbol
_atom_site_fract_x
_atom_site_fract_y
_atom_site_fract_z
Y1 Y 0.0000 0.0000 0.0000
Y2 Y 0.0000 0.0000 0.1267
Y3 Y 0.0000 0.0000 0.5124
Zn1 Zn 0.0000 0.0000 0.3163
Zn2 Zn 0.0000 0.0000 0.8167
Zn3 Zn 0.0008 0.5004 0.5665
Zn4 Zn 0.0019 0.5010 0.0663
Au1 Au 0.0000 0.0000 0.6317
# **Mass density**: 7.41 g/cm3
# **ΔH_f (0 K)**: -340 meV per atom

No. 7
# Y2ZnAu, optimized geometry, DFT GGA-PBE
data_Y2ZnAu
_space_group_name_H-M_alt 'C 1 2/m 1'
_space_group_IT_number 12
_cell_length_a 8.3247
_cell_length_b 3.8984
_cell_length_c 6.6551
_cell_angle_alpha 90.00
_cell_angle_beta 106.04
_cell_angle_gamma 90.00
loop_
_space_group_symop_operation_xyz
'x,y,z'
'-x,-y,-z'
'-x,y,-z'
'x,-y,z'
'x+1/2,y+1/2,z'
'-x+1/2,-y+1/2,-z'
'-x+1/2,y+1/2,-z'
'x+1/2,-y+1/2,z'
loop_
_atom_site_label
_atom_site_type_symbol
_atom_site_fract_x
_atom_site_fract_y
_atom_site_fract_z
Y1 Y 0.2462 0.0000 0.2473
Zn1 Zn 0.0000 0.0000 0.5000
Au1 Au 0.0000 0.5000 0.0000
# **Mass density**: 7.04 g/cm3
# **ΔH_f (0 K)**: -409 meV per atom

No. 8
# YZn3Au4, optimized geometry, DFT GGA-PBE
data_YZn3Au4
_space_group_name_H-M_alt 'R -3 m'
_space_group_IT_number 166
_space_group_name_Hall '-R 3 2"'
_cell_length_a 4.5154
_cell_length_b 4.5154
_cell_length_c 25.0391
_cell_angle_alpha 90.00
_cell_angle_beta 90.00
_cell_angle_gamma 120.00
loop_
_atom_site_label
_atom_site_type_symbol
_atom_site_fract_x
_atom_site_fract_y
_atom_site_fract_z
Y1 Y 0.0000 0.0000 0.0000
Zn1 Zn 0.0000 0.0000 0.2470
Zn2 Zn 0.0000 0.0000 0.5000
Au1 Au 0.0000 0.0000 0.1302
Au2 Au 0.0000 0.0000 0.3939
# **Mass density**: 12.09 g/cm3
# **ΔH_f (0 K)**: -424 meV per atom

Question: What is the formula in the eighth record?
Answer: YZn3Au4

Question: ΔH_f (0 K) of number 7 (Y2ZnAu)?
Answer: -409 meV per atom

Question: Which of these has the lowest mass density?
Answer: Y2ZnAu

Repeat the eighth record exactly.
# YZn3Au4, optimized geometry, DFT GGA-PBE
data_YZn3Au4
_space_group_name_H-M_alt 'R -3 m'
_space_group_IT_number 166
_space_group_name_Hall '-R 3 2"'
_cell_length_a 4.5154
_cell_length_b 4.5154
_cell_length_c 25.0391
_cell_angle_alpha 90.00
_cell_angle_beta 90.00
_cell_angle_gamma 120.00
loop_
_atom_site_label
_atom_site_type_symbol
_atom_site_fract_x
_atom_site_fract_y
_atom_site_fract_z
Y1 Y 0.0000 0.0000 0.0000
Zn1 Zn 0.0000 0.0000 0.2470
Zn2 Zn 0.0000 0.0000 0.5000
Au1 Au 0.0000 0.0000 0.1302
Au2 Au 0.0000 0.0000 0.3939
# **Mass density**: 12.09 g/cm3
# **ΔH_f (0 K)**: -424 meV per atom